(1)
VASP calculation (GGA-PBE) on Re2P after structural relaxation.

CIF file:
```
data_Re2P
_cell_length_a 5.0727
_cell_length_b 5.0727
_cell_length_c 9.5332
_cell_angle_alpha 90.00
_cell_angle_beta 90.00
_cell_angle_gamma 120.00
_symmetry_space_group_name_H-M 'P 1'
_symmetry_Int_Tables_number 1
_symmetry_space_group_name_Hall 'P 1'
loop_
_atom_site_label
_atom_site_fract_x
_atom_site_fract_y
_atom_site_fract_z
_atom_site_occupancy
Re1 0.0000 0.0000 0.0000 1
Re2 0.0000 0.0000 0.5000 1
Re3 0.8343 0.6686 0.2500 1
Re4 0.1657 0.3314 0.7500 1
Re5 0.3314 0.1657 0.2500 1
Re6 0.8343 0.1657 0.2500 1
Re7 0.1657 0.8343 0.7500 1
Re8 0.6686 0.8343 0.7500 1
P1 0.3333 0.6667 0.9597 1
P2 0.6667 0.3333 0.4597 1
P3 0.6667 0.3333 0.0403 1
P4 0.3333 0.6667 0.5403 1
```

Results
D(E_F) = 2.39 states/eV/f.u.
formation energy from the elements = 842 meV per atom
magnetic moment = 0.0 μB/cell
excess energy over the best structure of this formula in the dataset = 1133 meV per atom
raw total energy = -27.78 eV per formula unit
space group = P6_3/mmc, No. 194

---

(2)
VASP calculation (GGA-PBE) on ReP2 after structural relaxation.

CIF file:
```
data_ReP2
_cell_length_a 3.4820
_cell_length_b 3.4820
_cell_length_c 4.9032
_cell_angle_alpha 90.00
_cell_angle_beta 90.00
_cell_angle_gamma 120.00
_symmetry_space_group_name_H-M 'P 1'
_symmetry_Int_Tables_number 1
_symmetry_space_group_name_Hall 'P 1'
loop_
_atom_site_label
_atom_site_fract_x
_atom_site_fract_y
_atom_site_fract_z
_atom_site_occupancy
Re1 0.0000 0.0000 0.5000 1
P1 0.6667 0.3333 0.2340 1
P2 0.6667 0.3333 0.7660 1
```

Results
D(E_F) = 1.31 states/eV/f.u.
formation energy from the elements = -213 meV per atom
magnetic moment = 0.0 μB/cell
raw total energy = -23.91 eV per formula unit
space group = P-6m2, No. 187

---

(3)
VASP calculation (GGA-PBE) on Re2P after structural relaxation.

CIF file:
```
data_Re2P
_cell_length_a 2.9606
_cell_length_b 5.5710
_cell_length_c 10.1136
_cell_angle_alpha 90.00
_cell_angle_beta 90.00
_cell_angle_gamma 90.00
_symmetry_space_group_name_H-M 'P 1'
_symmetry_Int_Tables_number 1
_symmetry_space_group_name_Hall 'P 1'
loop_
_atom_site_label
_atom_site_fract_x
_atom_site_fract_y
_atom_site_fract_z
_atom_site_occupancy
P1 0.2500 0.4021 0.8983 1
P2 0.7500 0.0979 0.3983 1
P3 0.7500 0.5979 0.1017 1
P4 0.2500 0.9021 0.6017 1
Re1 0.2500 0.8250 0.9350 1
Re2 0.7500 0.6750 0.4350 1
Re3 0.7500 0.1750 0.0649 1
Re4 0.2500 0.3250 0.5649 1
Re5 0.2500 0.8537 0.2134 1
Re6 0.7500 0.6463 0.7134 1
Re7 0.7500 0.1463 0.7866 1
Re8 0.2500 0.3537 0.2866 1
```

Results
D(E_F) = 1.39 states/eV/f.u.
formation energy from the elements = -290 meV per atom
magnetic moment = 0.0 μB/cell
excess energy over the best structure of this formula in the dataset = 0 meV per atom
raw total energy = -31.18 eV per formula unit
space group = Pnma, No. 62

---

Question: Look up the D(E_F) of the second one.
Answer: 1.31 states/eV/f.u.